# FeGeTe2N (GGA-PBE, optimized geometry)
data_FeGeTe2N
_chemical_formula_sum 'Fe1 Ge1 Te2 N1'
_cell_length_a 5.3539
_cell_length_b 5.3539
_cell_length_c 3.4151
_cell_angle_alpha 90.00
_cell_angle_beta 90.00
_cell_angle_gamma 90.00
_symmetry_space_group_name_H-M 'P 1'
_symmetry_Int_Tables_number 1
loop_
_symmetry_equiv_pos_as_xyz
'x,y,z'
loop_
_atom_site_label
_atom_site_fract_x
_atom_site_fract_y
_atom_site_fract_z
Te1 0.0000 0.5000 0.0000
Te2 0.5000 0.0000 0.0000
Ge1 0.5000 0.5000 0.5000
N1 0.0000 0.0000 0.5000
Fe1 0.0000 0.0000 0.0000
# Relative energy among the computed polymorphs in eV/f.u.: 0.00
# Space group: P4/mmm (123)
# Final energy in eV/atom: -5.270
# Uncorrected formation energy in meV per atom: 268